[1]
This record from Alexandria describes a geometry-optimized KNd2PuO6 structure. The functional is GGA-PBE.

Cell: 6.408 6.408 6.408 Å, 56.94 56.94 56.94°
Element x y z (fractional)
K  0.000  0.000  0.000
Nd  0.260  0.260  0.260
Nd  0.776  0.776  0.776
Pu  0.468  0.468  0.468
O  0.096  0.612  0.431
O  0.205  0.540  0.845
O  0.431  0.096  0.612
O  0.540  0.845  0.205
O  0.612  0.431  0.096
O  0.845  0.205  0.540

Properties
Energy, eV per atom: -8.3579

---

[2]
This record from Alexandria describes a geometry-optimized K2NdPuO4 structure. The functional is GGA-PBE.

Cell: 6.255 3.614 6.630 Å, 90.00 108.38 90.00°
Element x y z (fractional)
K  0.000  0.000  0.000
K  0.500  0.500  0.000
Nd  0.000  0.500  0.500
Pu  0.500  0.000  0.500
O  0.235  0.000  0.692
O  0.277  0.500  0.313
O  0.723  0.500  0.687
O  0.765  0.000  0.308

Properties
Energy, eV per atom: -7.6230

---

[3]
This record from Alexandria describes a geometry-optimized KNdPuO4 structure. The functional is GGA-PBE.

Cell: 7.212 7.212 7.212 Å, 120.99 118.94 90.07°
Element x y z (fractional)
K  0.372  0.122  0.250
K  0.628  0.878  0.750
Nd  0.000  0.500  0.500
Nd  0.500  0.500  0.000
Pu  0.000  0.000  0.500
Pu  0.000  0.500  0.000
O  0.179  0.735  0.444
O  0.210  0.265  0.944
O  0.216  0.253  0.537
O  0.216  0.680  0.963
O  0.784  0.320  0.037
O  0.784  0.747  0.463
O  0.790  0.735  0.056
O  0.821  0.265  0.556

Properties
Energy, eV per atom: -8.5099

---

[4]
This record from Alexandria describes a geometry-optimized K2NdPuO6 structure. The functional is GGA-PBE.

Cell: 6.188 6.188 6.188 Å, 60.00 60.00 60.00°
Element x y z (fractional)
K  0.250  0.250  0.250
K  0.750  0.750  0.750
Nd  0.000  0.000  0.000
Pu  0.500  0.500  0.500
O  0.269  0.269  0.731
O  0.269  0.731  0.269
O  0.269  0.731  0.731
O  0.731  0.269  0.269
O  0.731  0.269  0.731
O  0.731  0.731  0.269

Properties
Energy, eV per atom: -7.6191

---

[5]
This record from Alexandria describes a geometry-optimized KNdReO6 structure. The functional is GGA-PBE.

Cell: 5.566 5.737 5.790 Å, 87.60 61.92 88.92°
Element x y z (fractional)
K  0.000  0.000  0.000
Nd  0.675  0.539  0.678
Re  0.350  0.445  0.325
O  0.040  0.286  0.574
O  0.088  0.702  0.358
O  0.319  0.671  0.599
O  0.352  0.299  0.050
O  0.583  0.281  0.405
O  0.623  0.648  0.073

Properties
Energy, eV per atom: -7.2738

---

[6]
This record from Alexandria describes a geometry-optimized K3Nd3ReO8 structure. The functional is GGA-PBE.

Cell: 7.505 7.505 7.505 Å, 55.98 55.98 55.98°
Element x y z (fractional)
K  0.000  0.500  0.500
K  0.500  0.000  0.500
K  0.500  0.500  0.000
Nd  0.000  0.000  0.500
Nd  0.000  0.500  0.000
Nd  0.500  0.000  0.000
Re  0.500  0.500  0.500
O  0.230  0.230  0.230
O  0.262  0.707  0.707
O  0.293  0.293  0.738
O  0.293  0.738  0.293
O  0.707  0.262  0.707
O  0.707  0.707  0.262
O  0.738  0.293  0.293
O  0.770  0.770  0.770

Properties
Energy, eV per atom: -6.9600

---

[7]
This record from Alexandria describes a geometry-optimized K4NdRh3O8 structure. The functional is GGA-PBE.

Cell: 7.156 7.156 7.156 Å, 54.78 54.78 54.78°
Element x y z (fractional)
K  0.000  0.000  0.000
K  0.000  0.500  0.500
K  0.500  0.000  0.500
K  0.500  0.500  0.000
Nd  0.500  0.500  0.500
Rh  0.000  0.000  0.500
Rh  0.000  0.500  0.000
Rh  0.500  0.000  0.000
O  0.202  0.743  0.743
O  0.220  0.220  0.220
O  0.257  0.257  0.798
O  0.257  0.798  0.257
O  0.743  0.202  0.743
O  0.743  0.743  0.202
O  0.780  0.780  0.780
O  0.798  0.257  0.257

Properties
Energy, eV per atom: -5.7930

---

[8]
This record from Alexandria describes a geometry-optimized K3Nd3RhO8 structure. The functional is GGA-PBE.

Cell: 7.490 7.490 7.490 Å, 55.94 55.94 55.94°
Element x y z (fractional)
K  0.000  0.500  0.500
K  0.500  0.000  0.500
K  0.500  0.500  0.000
Nd  0.000  0.000  0.500
Nd  0.000  0.500  0.000
Nd  0.500  0.000  0.000
Rh  0.500  0.500  0.500
O  0.231  0.231  0.231
O  0.261  0.708  0.708
O  0.292  0.292  0.739
O  0.292  0.739  0.292
O  0.708  0.261  0.708
O  0.708  0.708  0.261
O  0.739  0.292  0.292
O  0.769  0.769  0.769

Properties
Energy, eV per atom: -6.4987

---

[9]
This record from Alexandria describes a geometry-optimized KNdRhO3 structure. The functional is GGA-PBE.

Cell: 7.014 7.014 7.691 Å, 104.51 104.51 31.89°
Element x y z (fractional)
K  0.142  0.142  0.063
K  0.858  0.858  0.937
Nd  0.153  0.153  0.579
Nd  0.847  0.847  0.421
Rh  0.494  0.494  0.711
Rh  0.506  0.506  0.289
O  0.007  0.007  0.292
O  0.330  0.330  0.628
O  0.346  0.346  0.225
O  0.654  0.654  0.775
O  0.670  0.670  0.372
O  0.993  0.993  0.708

Properties
Energy, eV per atom: -6.6075

---

[10]
This record from Alexandria describes a geometry-optimized K4Nd3RhO8 structure. The functional is GGA-PBE.

Cell: 7.475 7.475 7.475 Å, 56.21 56.21 56.21°
Element x y z (fractional)
K  0.000  0.000  0.000
K  0.000  0.500  0.500
K  0.500  0.000  0.500
K  0.500  0.500  0.000
Nd  0.000  0.000  0.500
Nd  0.000  0.500  0.000
Nd  0.500  0.000  0.000
Rh  0.500  0.500  0.500
O  0.231  0.231  0.231
O  0.249  0.721  0.721
O  0.279  0.279  0.751
O  0.279  0.751  0.279
O  0.721  0.249  0.721
O  0.721  0.721  0.249
O  0.751  0.279  0.279
O  0.769  0.769  0.769

Properties
Energy, eV per atom: -6.2325

---

[11]
This record from Alexandria describes a geometry-optimized KNdRu2O8 structure. The functional is GGA-PBE.

Cell: 6.040 6.040 7.768 Å, 90.00 90.00 120.00°
Element x y z (fractional)
K  0.000  0.000  0.000
Nd  0.000  0.000  0.500
Ru  0.333  0.667  0.776
Ru  0.667  0.333  0.224
O  0.166  0.343  0.695
O  0.176  0.834  0.695
O  0.333  0.667  0.001
O  0.343  0.176  0.305
O  0.657  0.824  0.695
O  0.667  0.333  0.999
O  0.824  0.166  0.305
O  0.834  0.657  0.305

Properties
Energy, eV per atom: -6.7941

---

[12]
This record from Alexandria describes a geometry-optimized K2NdRuO4 structure. The functional is GGA-PBE.

Cell: 5.682 3.486 6.523 Å, 90.00 108.25 90.00°
Element x y z (fractional)
K  0.000  0.000  0.000
K  0.500  0.500  0.000
Nd  0.000  0.500  0.500
Ru  0.500  0.000  0.500
O  0.255  0.000  0.697
O  0.308  0.500  0.324
O  0.692  0.500  0.676
O  0.745  0.000  0.303

Properties
Energy, eV per atom: -6.2317